Record 1
## MgSi (PBE)

Data for crystalline MgSi at its relaxed geometry.

Lattice parameters (Å, degrees): 5.2945 5.3561 8.8814 102.85 90.48 109.28
Fractional positions:
Si 0.5711 0.7380 0.0783
Si 0.4996 0.4403 0.4564
Si 0.8323 0.4882 0.8800
Si 0.2651 0.4774 0.2273
Si 0.2600 0.8298 0.9073
Si 0.1225 0.0785 0.5252
Mg 0.7165 0.2938 0.1486
Mg 0.6985 0.8900 0.7501
Mg 0.0970 0.9255 0.2023
Mg 0.2833 0.2981 0.8320
Mg 0.6017 0.9651 0.4169
Mg 0.0524 0.5752 0.5757

Properties
Its uncorrected formation energy is 0.030 eV per atom. As for the crystal system: triclinic. As for the space group: No. 1.

***

Record 2
## HfCo2N (PBE)

Data for crystalline HfCo2N at its relaxed geometry.

Lattice parameters (Å, degrees): 5.3405 5.3405 5.3949 60.33 60.33 90.00
Fractional positions:
N 0.5000 0.5000 0.0000
N 0.2500 0.7500 0.5000
Hf 0.0000 0.0000 0.0000
Hf 0.7500 0.2500 0.5000
Co 0.2546 0.6250 0.2500
Co 0.8750 0.7454 0.7500
Co 0.3750 0.5046 0.7500
Co 0.4954 0.1250 0.2500

Properties
Its uncorrected formation energy is -0.013 eV per atom. As for the crystal system: tetragonal. As for the space group: No. 122.

***

Record 3
## Ta3CuAg (PBE)

Data for crystalline Ta3CuAg at its relaxed geometry.

Lattice parameters (Å, degrees): 4.6464 4.6464 4.6464 90.00 90.00 90.00
Fractional positions:
Ta 0.0000 0.0000 0.5000
Ta 0.5000 0.0000 0.0000
Ta 0.0000 0.5000 0.0000
Cu 0.0000 0.0000 0.0000
Ag 0.5000 0.5000 0.5000

Properties
The formation energy from the elements comes out at 6.40 eV per formula unit. As for the crystal system: cubic. As for the space group: No. 221.